CaMg2ZnGa: relaxed, PBE.

Properties
**E**: -0.03629 hartree per atom
**DFT formation energy**: 0.91 eV/atom
**N(E_F)**: 5.4 states/eV per cell

Unit cell a=6.2977 b=6.2977 c=5.6561 alpha=90.00 beta=90.00 gamma=90.00
Closest atoms and distances in Å follow each position.
Positions (direct):
Ca  0.0000  0.0000  0.0000  2 Ga 2.83, 4 Mg 3.15
Mg  0.0000  0.5000  0.0000  2 Ca 3.15
Mg  0.5000  0.0000  0.0000  2 Ca 3.15
Zn  0.5000  0.5000  0.5000  8 Mg 4.23, 4 Ga 4.45
Ga  0.0000  0.0000  0.5000  2 Ca 2.83